Pm3HoSb4 | PBE | relaxed

a b c (Å): 6.3076 6.3076 6.3076
angles (deg): 90.00 90.00 90.00
Space group Pm-3m (No. 221)
Unique sites:
Pm 0.0000 0.0000 0.5000 x3
Ho 0.5000 0.5000 0.5000 x1
Sb 0.0000 0.0000 0.0000 x1
Sb 0.0000 0.5000 0.5000 x3

Calculated values
- DOS(E_F): 0.503 states/eV/cell
- Total magnetic moment: 0.0 μB per formula unit
- Formation energy (no corrections): -1.17 eV/atom